This record from the Alexandria database describes a geometry-optimized La2Pm5Er3 structure. The functional is PBE.

Results
Electronic total energy (eV per atom): -4.30
N(E_F) (states/eV per cell): 54.70
V (Å³/atom): 34.74
Energy of formation (eV per atom): 0.430

Lattice parameters (Å, degrees): 9.711 15.913 8.992 90.00 90.00 90.00
Space group Ibam (No. 72)
One atom of each set of equivalent atoms:
La (0.108, 0.131, 0.000) x8
Pm (0.000, 0.246, 0.250) x8
Pm (0.000, 0.500, 0.250) x4
Pm (0.101, 0.378, 0.500) x8
Er (0.000, 0.000, 0.250) x4
Er (0.250, 0.123, 0.500) x8



This record from the Alexandria database describes a geometry-optimized Na2LaPr3Te6 structure. The functional is PBE.

Results
Electronic total energy (eV per atom): -4.80
N(E_F) (states/eV per cell): 8.51
V (Å³/atom): 33.51
Formation energy from raw total energies (eV per formula unit): -16.81

Lattice parameters (Å, degrees): 7.841 13.577 7.993 90.00 109.07 90.00
Space group C2/m (No. 12)
One atom of each set of equivalent atoms:
Na (0.000, 0.166, 0.000) x4
La (0.000, 0.500, 0.000) x2
Pr (0.000, 0.000, 0.500) x2
Pr (0.000, 0.333, 0.500) x4
Te (0.250, 0.000, 0.251) x4
Te (0.250, 0.167, 0.750) x8



This record from the Alexandria database describes a geometry-optimized Ca3Ga2N structure. The functional is PBE.

Results
Electronic total energy (eV per atom): -3.94
N(E_F) (states/eV per cell): 6.90
V (Å³/atom): 23.44
Formation energy from raw total energies (eV per formula unit): -3.24

Lattice parameters (Å, degrees): 7.0506 7.0506 6.5345 90.00 90.00 120.00
Space group P6_3/mmc (No. 194)
One atom of each set of equivalent atoms:
Ca (0.1467, 0.2934, 0.2500) x6
Ga (0.3333, 0.6667, 0.5690) x4
N (0.0000, 0.0000, 0.0000) x2



This record from the Alexandria database describes a geometry-optimized Mn2CdBr structure. The functional is PBE.

Results
Electronic total energy (eV per atom): -4.98
N(E_F) (states/eV per cell): 6.49
V (Å³/atom): 20.38
Formation energy from raw total energies (eV per formula unit): 1.01

Lattice parameters (Å, degrees): 3.2598 3.2598 26.5819 90.00 90.00 120.00
Space group R3m (No. 160, hexagonal axes)
One atom of each set of equivalent atoms:
Mn (0.0000, 0.0000, 0.0000) x3
Mn (0.0000, 0.0000, 0.2577) x3
Cd (0.0000, 0.0000, 0.7493) x3
Br (0.0000, 0.0000, 0.5234) x3